DFT (GGA-PBE) results for a relaxed KTlAu2 crystal.

Cell lengths 6.2900, 6.2900, 6.2900 Å; angles 146.73, 128.40, 62.79 degrees
Fractional coordinates of all 4 atoms:
1 K 0.0000 0.0000 0.0000
2 Tl 0.2899 0.7899 0.5000
3 Au 0.5139 0.5139 0.0000
4 Au 0.7192 0.2192 0.5000

Results
The crystal system is orthorhombic. The value obtained for the total moment is 0.00 μB/f.u. The energy relative to the lowest polymorph listed for this composition comes out at 76 meV per atom. As for the raw total energy: -10.5 eV/cell. Its calculated formation energy is -124 meV/atom. Its density of states at the Fermi level is 0.524 states/eV/cell.

DFT (GGA-PBE) results for a relaxed LiNi2H5 crystal.

Cell lengths 4.9324, 4.9324, 4.9324 Å; angles 147.10, 129.25, 61.81 degrees
Fractional coordinates of all 8 atoms:
1 Li 0.0000 0.0000 0.0000
2 Ni 0.3021 0.8021 0.5000
3 Ni 0.6979 0.1979 0.5000
4 H 0.1109 0.3428 0.7681
5 H 0.4253 0.6572 0.7681
6 H 0.5000 0.0000 0.5000
7 H 0.5747 0.3428 0.2319
8 H 0.8891 0.6572 0.2319

Results
The crystal system is orthorhombic. The value obtained for the total moment is 0.00 μB/f.u. As for the raw total energy: -31.3 eV/cell. Its density of states at the Fermi level is 0.813 states/eV/cell.

DFT (GGA-PBE) results for a relaxed Be2H2Br crystal.

Cell lengths 6.0334, 6.0334, 3.0066 Å; angles 90.00, 90.00, 90.00 degrees
Fractional coordinates of all 10 atoms:
1 Be 0.1165 0.3835 0.0000
2 Be 0.3835 0.8835 0.0000
3 Be 0.6165 0.1165 0.0000
4 Be 0.8835 0.6165 0.0000
5 H 0.1161 0.6161 0.5000
6 H 0.3839 0.1161 0.5000
7 H 0.6161 0.8839 0.5000
8 H 0.8839 0.3839 0.5000
9 Br 0.0000 0.0000 0.0000
10 Br 0.5000 0.5000 0.0000

Results
The crystal system is tetragonal. The value obtained for the total moment is 0.00 μB/f.u. The energy relative to the lowest polymorph listed for this composition comes out at 589 meV per atom. As for the raw total energy: -23.9 eV/cell. Its density of states at the Fermi level is 2.732 states/eV/cell.

DFT (GGA-PBE) results for a relaxed KSmTe2O8 crystal.

Cell lengths 7.0951, 7.0951, 7.0951 Å; angles 134.64, 134.64, 66.10 degrees
Fractional coordinates of all 12 atoms:
1 K 0.0000 0.0000 0.0000
2 Sm 0.2500 0.7500 0.5000
3 Te 0.5000 0.5000 0.0000
4 Te 0.7500 0.2500 0.5000
5 O 0.0018 0.0908 0.4386
6 O 0.2735 0.6546 0.1047
7 O 0.3454 0.4501 0.6188
8 O 0.4367 0.9982 0.0890
9 O 0.5499 0.1688 0.8953
10 O 0.6522 0.5633 0.5614
11 O 0.8312 0.7266 0.3812
12 O 0.9092 0.3478 0.9110

Results
The crystal system is tetragonal. The value obtained for the total moment is 0.00 μB/f.u. As for the raw total energy: -70.7 eV/cell. Its density of states at the Fermi level is 0.000 states/eV/cell.

DFT (GGA-PBE) results for a relaxed CaNd2Gd crystal.

Cell lengths 5.8590, 5.8590, 5.8590 Å; angles 60.00, 60.00, 60.00 degrees
Fractional coordinates of all 4 atoms:
1 Ca 0.0000 0.0000 0.0000
2 Nd 0.2500 0.2500 0.2500
3 Nd 0.7500 0.7500 0.7500
4 Gd 0.5000 0.5000 0.5000

Results
The crystal system is cubic. The value obtained for the total moment is 7.90 μB/f.u. The energy relative to the lowest polymorph listed for this composition comes out at 74 meV per atom. As for the raw total energy: -25.2 eV/cell. Its calculated formation energy is 116 meV/atom. Its density of states at the Fermi level is 7.417 states/eV/cell.

DFT (GGA-PBE) results for a relaxed ZnCrPt2 crystal.

Cell lengths 5.6098, 5.6098, 5.6098 Å; angles 103.74, 103.74, 121.68 degrees
Fractional coordinates of all 8 atoms:
1 Zn 0.0000 0.0000 0.0000
2 Zn 0.7500 0.2500 0.5000
3 Cr 0.2500 0.7500 0.5000
4 Cr 0.5000 0.5000 0.0000
5 Pt 0.1249 0.6250 0.9999
6 Pt 0.3750 0.3749 0.4999
7 Pt 0.6251 0.1250 0.0001
8 Pt 0.8750 0.8751 0.5001

Results
The crystal system is tetragonal. The value obtained for the total moment is 3.66 μB/f.u. As for the raw total energy: -45.5 eV/cell. Its calculated formation energy is 59 meV/atom. Its density of states at the Fermi level is 5.424 states/eV/cell.

DFT (GGA-PBE) results for a relaxed MgTlI2Cl crystal.

Cell lengths 5.9260, 5.9260, 4.8440 Å; angles 90.00, 90.00, 90.00 degrees
Fractional coordinates of all 5 atoms:
1 Mg 0.0000 0.0000 0.0000
2 Tl 0.5000 0.5000 0.5000
3 I 0.0000 0.5000 0.0000
4 I 0.5000 0.0000 0.0000
5 Cl 0.0000 0.0000 0.5000

Results
The crystal system is tetragonal. The value obtained for the total moment is 0.00 μB/f.u. As for the raw total energy: -14.1 eV/cell. Its density of states at the Fermi level is 0.000 states/eV/cell.

DFT (GGA-PBE) results for a relaxed Ba6NaAgN crystal.

Cell lengths 8.1913, 8.1913, 7.6943 Å; angles 90.00, 90.00, 120.00 degrees
Fractional coordinates of all 9 atoms:
1 Ba 0.0647 0.3786 0.2173
2 Ba 0.0647 0.6861 0.7827
3 Ba 0.3139 0.3786 0.7827
4 Ba 0.3139 0.9353 0.2173
5 Ba 0.6214 0.6861 0.2173
6 Ba 0.6214 0.9353 0.7827
7 Na 0.6667 0.3333 0.5000
8 Ag 0.0000 0.0000 0.0000
9 N 0.3333 0.6667 0.0000

Results
The crystal system is trigonal. The value obtained for the total moment is 0.00 μB/f.u. As for the raw total energy: -24.9 eV/cell. Its density of states at the Fermi level is 9.727 states/eV/cell.

> Number 3 is which compound?

Be2H2Br